(1)
Density functional theory data (GGA-PBE) for a geometry-optimized YTePb4 structure.

Geometry as POSCAR:
```
YTePb4
1.0
3.799 1.108 5.078
2.662 5.804 0.823
-2.029 3.825 4.764
Pb Y Te
4 1 1
direct
0.878 0.374 0.374
0.374 0.878 0.374
0.374 0.374 0.374
0.374 0.374 0.878
0.000 0.000 0.000
0.750 0.750 0.750
```

Output
As for the total magnetization: 0.000 Bohr magnetons per cell. As for the total energy: -4.11 eV per atom. As for the uncorrected formation energy: -0.24 eV per formula unit. The value obtained for the mass density is 9.2 g/cm³.

(2)
Density functional theory data (GGA-PBE) for a geometry-optimized Y2TePb structure.

Geometry as POSCAR:
```
Y2TePb
1.0
-1.376 -0.754 -10.160
-4.782 -2.059 -8.864
-4.179 1.748 -9.228
Pb Y Te
1 2 1
direct
0.496 0.496 0.496
0.248 0.248 0.248
0.011 0.011 0.011
0.745 0.745 0.745
```

Output
As for the total magnetization: 0.937 Bohr magnetons per cell. The value obtained for the energy above the most stable polymorph in this dataset is 693 meV per atom. As for the total energy: -5.24 eV per atom. As for the uncorrected formation energy: -1.18 eV per formula unit. The value obtained for the mass density is 6.5 g/cm³.